Entry 1:
Below is a geometry-optimized BaFe2Re structure, with properties calculated at the PBE level.

## Properties
Magnetic moment: 5.27 μB/f.u.
Formation energy from the elements: 1.45 eV/atom

a = 6.6145 Å, b = 6.6145 Å, c = 6.6145 Å
α = 90.00°, β = 90.00°, γ = 90.00°
Closest atoms and distances in Å follow each position.
Space group F-43m (No. 216)
Unique sites:
Ba 0.0000 0.0000 0.0000 x4  4 Fe 2.86, 4 Re 2.86
Fe 0.0000 0.0000 0.5000 x4  4 Fe 2.86, 4 Re 2.86
Fe 0.2500 0.2500 0.2500 x4  4 Ba 2.86, 4 Fe 2.86
Re 0.2500 0.2500 0.7500 x4  4 Ba 2.86, 4 Fe 2.86

=====

Entry 2:
Below is a geometry-optimized Pr4Ga16Co3 structure, with properties calculated at the PBE level.

## Properties
Magnetic moment: 0.00 μB/f.u.
Formation energy from the elements: -0.50 eV/atom

a = 6.1411 Å, b = 6.1411 Å, c = 11.3860 Å
α = 90.00°, β = 90.00°, γ = 90.00°
Closest atoms and distances in Å follow each position.
Space group P4/mmm (No. 123)
Unique sites:
Pr 0.0000 0.5000 0.1964 x4  12 Ga 3.07-3.13
Ga 0.0000 0.0000 0.1923 x2  8 Ga 2.91-3.12, 4 Pr 3.07
Ga 0.2199 0.2199 0.0000 x4  1 Co 2.43, 2 Ga 2.70
Ga 0.2513 0.2513 0.3881 x8  2 Co 2.52, 1 Ga 2.55
Ga 0.5000 0.5000 0.2190 x2  1 Co 2.49
Co 0.0000 0.5000 0.5000 x2  8 Ga 2.52
Co 0.5000 0.5000 0.0000 x1  6 Ga 2.43-2.49

=====

Entry 3:
Below is a geometry-optimized TmPuTlPb structure, with properties calculated at the PBE level.

## Properties
Magnetic moment: 6.23 μB/f.u.
Formation energy from the elements: -0.18 eV/atom

a = 7.6274 Å, b = 7.6274 Å, c = 7.6274 Å
α = 90.00°, β = 90.00°, γ = 90.00°
Closest atoms and distances in Å follow each position.
Space group F-43m (No. 216)
Unique sites:
Tm 0.0000 0.0000 0.0000 x4  4 Pb 3.30, 4 Tl 3.30
Pu 0.0000 0.0000 0.5000 x4  4 Tl 3.30, 4 Pb 3.30
Tl 0.2500 0.2500 0.7500 x4  4 Tm 3.30, 4 Pu 3.30
Pb 0.2500 0.2500 0.2500 x4  4 Pu 3.30, 4 Tm 3.30

=====

Entry 4:
Below is a geometry-optimized K3Bi5Se12 structure, with properties calculated at the PBE level.

## Properties
Formation energy from raw total energies: -329 meV/atom
Magnetic moment: 0.00 μB/f.u.

a = 17.7090 Å, b = 17.7090 Å, c = 17.7090 Å
α = 90.00°, β = 90.00°, γ = 90.00°
Closest atoms and distances in Å follow each position.
Space group Ia-3d (No. 230)
Unique sites:
K 0.0000 0.2500 0.1250 x24  8 Se 3.42
Bi 0.0000 0.0000 0.0000 x16  6 Se 2.90
Bi 0.0000 0.2500 0.3750 x24  4 Se 2.69
Se 0.0283 0.0607 0.6496 x96  2 Bi 2.69-2.90

=====

Entry 5:
Below is a geometry-optimized CrAg2Ru structure, with properties calculated at the PBE level.

## Properties
Magnetic moment: 1.79 μB/f.u.
Formation energy from the elements: 0.28 eV/atom

a = 2.8540 Å, b = 2.8540 Å, c = 7.8041 Å
α = 90.00°, β = 90.00°, γ = 90.00°
Closest atoms and distances in Å follow each position.
Space group P4mm (No. 99)
Unique sites:
Cr 0.0000 0.0000 0.0000 x1  4 Ru 2.46
Ag 0.0000 0.0000 0.4577 x1  8 Ag 2.85-2.96, 4 Ru 2.96
Ag 0.5000 0.5000 0.7343 x1  8 Ag 2.85-2.96, 4 Cr 2.89
Ru 0.5000 0.5000 0.1809 x1  4 Cr 2.46

=====

Entry 6:
Below is a geometry-optimized SrPa2Pt3 structure, with properties calculated at the PBE level.

## Properties
Magnetic moment: 0.00 μB/f.u.
Formation energy from the elements: -0.59 eV/atom

a = 4.7294 Å, b = 14.3832 Å, c = 8.8874 Å
α = 90.00°, β = 90.00°, γ = 90.00°
Closest atoms and distances in Å follow each position.
Space group Cmcm (No. 63)
Unique sites:
Sr 0.0000 0.2157 0.2500 x4  8 Pt 3.25-3.37
Pa 0.0000 0.0000 0.0000 x4  6 Pt 2.90-2.98
Pa 0.0000 0.4810 0.2500 x4  6 Pt 2.85-2.90
Pt 0.0000 0.1297 0.7500 x4  4 Pa 2.85-2.90
Pt 0.0000 0.3746 0.5218 x8  4 Pa 2.86-2.98

=====

Entry 7:
Below is a geometry-optimized CdP3Ru structure, with properties calculated at the PBE level.

## Properties
Magnetic moment: 0.00 μB/f.u.
Formation energy from the elements: 0.55 eV/atom

a = 4.6375 Å, b = 4.6375 Å, c = 4.6375 Å
α = 90.00°, β = 90.00°, γ = 90.00°
Closest atoms and distances in Å follow each position.
Space group Pm-3m (No. 221)
Unique sites:
Cd 0.0000 0.0000 0.0000 x1  12 P 3.28
P 0.0000 0.5000 0.5000 x3  2 Ru 2.32
Ru 0.5000 0.5000 0.5000 x1  6 P 2.32

=====

Entry 8:
Below is a geometry-optimized K2CuSnS structure, with properties calculated at the PBE level.

## Properties
Formation energy from raw total energies: 292 meV/atom
Magnetic moment: 0.00 μB/f.u.

a = 6.8393 Å, b = 6.8393 Å, c = 4.9970 Å
α = 90.00°, β = 90.00°, γ = 90.00°
Closest atoms and distances in Å follow each position.
Space group P4/mmm (No. 123)
Unique sites:
K 0.0000 0.5000 0.0000 x2  2 Sn 3.42
Cu 0.0000 0.0000 0.5000 x1  8 K 4.24
Sn 0.5000 0.5000 0.0000 x1  2 S 2.50
S 0.5000 0.5000 0.5000 x1  2 Sn 2.50

=====

Entry 9:
Below is a geometry-optimized AgPOs2 structure, with properties calculated at the PBE level.

## Properties
Magnetic moment: 0.00 μB/f.u.
Formation energy from the elements: 0.34 eV/atom

a = 2.8082 Å, b = 2.8082 Å, c = 7.9547 Å
α = 90.00°, β = 90.00°, γ = 90.00°
Closest atoms and distances in Å follow each position.
Space group P4mm (No. 99)
Unique sites:
Ag 0.0000 0.0000 0.0000 x1  4 Ag 2.81, 4 Os 2.92
P 0.5000 0.5000 0.6876 x1  4 Os 2.50
Os 0.0000 0.0000 0.4958 x1  4 P 2.50, 4 Os 2.68
Os 0.5000 0.5000 0.2687 x1  8 Os 2.68-2.81, 4 Ag 2.92

=====

Entry 10:
Below is a geometry-optimized MnNbFeSn structure, with properties calculated at the PBE level.

## Properties
Magnetic moment: 0.00 μB/f.u.
Formation energy from the elements: -0.05 eV/atom

a = 6.1520 Å, b = 6.1520 Å, c = 6.1520 Å
α = 90.00°, β = 90.00°, γ = 90.00°
Closest atoms and distances in Å follow each position.
Space group F-43m (No. 216)
Unique sites:
Mn 0.0000 0.0000 0.0000 x4  4 Sn 2.66, 4 Nb 2.66
Nb 0.2500 0.2500 0.7500 x4  4 Mn 2.66, 4 Fe 2.66
Fe 0.0000 0.0000 0.5000 x4  4 Nb 2.66, 4 Sn 2.66
Sn 0.2500 0.2500 0.2500 x4  4 Mn 2.66, 4 Fe 2.66

=====

Entry 11:
Below is a geometry-optimized CaHoGa structure, with properties calculated at the PBE level.

## Properties
Magnetic moment: 0.00 μB/f.u.
Formation energy from the elements: -0.32 eV/atom

a = 3.5870 Å, b = 3.5870 Å, c = 13.0708 Å
α = 90.00°, β = 90.00°, γ = 90.00°
Closest atoms and distances in Å follow each position.
Space group I4mm (No. 107)
Unique sites:
Ca 0.0000 0.0000 0.0000 x2  4 Ga 3.20, 1 Ho 3.59, 4 Ca 3.59
Ho 0.0000 0.0000 0.2743 x2  4 Ga 3.01
Ga 0.0000 0.0000 0.6499 x2  4 Ho 3.01, 4 Ca 3.20

=====

Entry 12:
Below is a geometry-optimized Sr2LaSbIr structure, with properties calculated at the PBE level.

## Properties
Formation energy from raw total energies: -86 meV/atom
Magnetic moment: 0.00 μB/f.u.

a = 5.7592 Å, b = 5.7592 Å, c = 5.1981 Å
α = 90.00°, β = 90.00°, γ = 90.00°
Closest atoms and distances in Å follow each position.
Space group P4/mmm (No. 123)
Unique sites:
Sr 0.0000 0.5000 0.0000 x2  2 Ir 2.88
La 0.0000 0.0000 0.5000 x1  8 Sr 3.88, 4 Sb 4.07
Sb 0.5000 0.5000 0.5000 x1  2 Ir 2.60
Ir 0.5000 0.5000 0.0000 x1  2 Sb 2.60, 4 Sr 2.88

=====

Entry 13:
Below is a geometry-optimized Ca2Cd3Ag2 structure, with properties calculated at the PBE level.

## Properties
Magnetic moment: 0.00 μB/f.u.
Formation energy from the elements: -0.27 eV/atom

a = 10.8548 Å, b = 4.6745 Å, c = 7.2540 Å
α = 90.00°, β = 110.03°, γ = 90.00°
Closest atoms and distances in Å follow each position.
Space group C2/m (No. 12)
Unique sites:
Ca 0.1369 0.0000 0.2512 x4  6 Cd 3.21-3.57, 5 Ag 3.24-3.45
Cd 0.0000 0.5000 0.5000 x2  2 Ag 2.92, 4 Cd 3.02
Cd 0.1563 0.0000 0.7269 x4  3 Ag 2.90-2.91, 2 Cd 3.02, 3 Ca 3.21-3.24
Ag 0.1071 0.5000 0.9284 x4  1 Ag 2.85, 4 Cd 2.90-2.92

=====

Entry 14:
Below is a geometry-optimized NiGe2Pd3 structure, with properties calculated at the PBE level.

## Properties
Magnetic moment: 0.00 μB/f.u.
Formation energy from the elements: -0.46 eV/atom

a = 5.2926 Å, b = 12.7735 Å, c = 5.3182 Å
α = 90.00°, β = 90.00°, γ = 90.00°
Closest atoms and distances in Å follow each position.
Space group Ibam (No. 72)
Unique sites:
Ni 0.0000 0.0000 0.2500 x4  4 Ge 2.42, 2 Pd 2.65, 2 Ni 2.66
Ge 0.2302 0.1260 0.0000 x8  2 Ni 2.42, 4 Pd 2.46-2.63
Pd 0.0000 0.5000 0.2500 x4  4 Ge 2.53, 2 Ni 2.65, 2 Pd 2.66
Pd 0.2485 0.1820 0.5000 x8  2 Ge 2.46-2.63

=====

Entry 15:
Below is a geometry-optimized DyZnGaHg structure, with properties calculated at the PBE level.

## Properties
Magnetic moment: 0.00 μB/f.u.
Formation energy from the elements: -0.30 eV/atom

a = 6.9487 Å, b = 6.9487 Å, c = 6.9487 Å
α = 90.00°, β = 90.00°, γ = 90.00°
Closest atoms and distances in Å follow each position.
Space group F-43m (No. 216)
Unique sites:
Dy 0.0000 0.0000 0.0000 x4  4 Hg 3.01, 4 Ga 3.01
Zn 0.0000 0.0000 0.5000 x4  4 Hg 3.01, 4 Ga 3.01
Ga 0.2500 0.2500 0.7500 x4  4 Dy 3.01, 4 Zn 3.01
Hg 0.2500 0.2500 0.2500 x4  4 Dy 3.01, 4 Zn 3.01

=====

Entry 16:
Below is a geometry-optimized BaNa2Li structure, with properties calculated at the PBE level.

## Properties
Magnetic moment: 0.00 μB/f.u.
Formation energy from the elements: 0.08 eV/atom

a = 6.1581 Å, b = 9.7670 Å, c = 6.1784 Å
α = 90.00°, β = 118.15°, γ = 90.00°
Closest atoms and distances in Å follow each position.
Space group P2_1/m (No. 11)
Unique sites:
Ba 0.0084 0.2500 0.4899 x2  3 Li 3.59-3.61
Na 0.3311 0.5649 0.1692 x4  1 Li 3.08
Li 0.3484 0.2500 0.1477 x2  2 Na 3.08

=====

Entry 17:
Below is a geometry-optimized TcHgAsSe2 structure, with properties calculated at the PBE level.

## Properties
Formation energy from raw total energies: 354 meV/atom
Magnetic moment: 0.00 μB/f.u.

a = 4.9524 Å, b = 4.9524 Å, c = 4.8627 Å
α = 90.00°, β = 90.00°, γ = 90.00°
Closest atoms and distances in Å follow each position.
Space group P4/mmm (No. 123)
Unique sites:
Tc 0.0000 0.0000 0.0000 x1  2 As 2.43, 4 Se 2.48
Hg 0.5000 0.5000 0.5000 x1  8 Se 3.47, 4 As 3.50
As 0.0000 0.0000 0.5000 x1  2 Tc 2.43
Se 0.0000 0.5000 0.0000 x2  2 Tc 2.48

=====

Entry 18:
Below is a geometry-optimized PuInSn2Cl8 structure, with properties calculated at the PBE level.

## Properties
Formation energy from raw total energies: -1260 meV/atom
Magnetic moment: 5.00 μB/f.u.

a = 6.5659 Å, b = 6.8388 Å, c = 9.0350 Å
α = 86.93°, β = 87.85°, γ = 88.55°
Closest atoms and distances in Å follow each position.
Space group P-1 (No. 2)
Unique sites:
Pu 0.0000 0.0000 0.0000 x1  6 Cl 2.72-2.76
In 0.0000 0.0000 0.5000 x1  6 Cl 3.15-3.17
Sn 0.4967 0.4909 0.7474 x2  2 Cl 2.57-2.74
Cl 0.2220 0.8243 0.7823 x2  1 Pu 2.72, 1 Sn 2.89
Cl 0.2500 0.8578 0.2171 x2  1 Pu 2.73, 1 Sn 2.88
Cl 0.2516 0.3186 0.9663 x2  1 Sn 2.74, 1 Pu 2.76
Cl 0.2805 0.3598 0.5442 x2  1 Sn 2.57

=====

Entry 19:
Below is a geometry-optimized Tb4PrDy4 structure, with properties calculated at the PBE level.

## Properties
Magnetic moment: 0.00 μB/f.u.
Formation energy from the elements: 0.02 eV/atom

a = 10.7155 Å, b = 10.7155 Å, c = 5.0403 Å
α = 90.00°, β = 90.00°, γ = 90.00°
Closest atoms and distances in Å follow each position.
Space group I4/mmm (No. 139)
Unique sites:
Tb 0.1677 0.1677 0.0000 x8  4 Tb 3.55-3.59, 6 Dy 3.56-3.57, 2 Pr 3.58
Pr 0.0000 0.0000 0.5000 x2  8 Tb 3.58, 4 Dy 3.59
Dy 0.0000 0.3346 0.5000 x8  5 Dy 3.54-3.55, 6 Tb 3.56-3.57, 1 Pr 3.59

=====

Entry 20:
Below is a geometry-optimized CaLa2Cr structure, with properties calculated at the PBE level.

## Properties
Magnetic moment: 3.68 μB/f.u.
Formation energy from the elements: 0.29 eV/atom

a = 3.7968 Å, b = 5.6914 Å, c = 11.7644 Å
α = 90.00°, β = 90.00°, γ = 90.00°
Closest atoms and distances in Å follow each position.
Space group Immm (No. 71)
Unique sites:
Ca 0.0000 0.0000 0.0000 x2  4 Cr 3.42, 4 La 3.76, 2 Ca 3.80
La 0.0000 0.5000 0.2090 x4  2 Cr 3.11
Cr 0.0000 0.0000 0.5000 x2  4 La 3.11, 4 Ca 3.42